*P*
# Pr3ThAs4 (PBE, relaxed)
# M_tot ... 0.00 μB/cell
# Space-group type ... No. 221
data_Pr3ThAs4
_cell_length_a 6.0699
_cell_length_b 6.0699
_cell_length_c 6.0699
_cell_angle_alpha 90.00
_cell_angle_beta 90.00
_cell_angle_gamma 90.00
_symmetry_space_group_name_H-M 'P 1'
_symmetry_Int_Tables_number 1
loop_
_symmetry_equiv_pos_as_xyz
'x,y,z'
loop_
_atom_site_label
_atom_site_type_symbol
_atom_site_fract_x
_atom_site_fract_y
_atom_site_fract_z
As1 As 0.5000 0.5000 0.5000
Th1 Th 0.0000 0.0000 0.0000
As2 As 0.5000 0.0000 0.0000
Pr1 Pr 0.5000 0.0000 0.5000
As3 As 0.0000 0.5000 0.0000
As4 As 0.0000 0.0000 0.5000
Pr2 Pr 0.0000 0.5000 0.5000
Pr3 Pr 0.5000 0.5000 0.0000

---

*Q*
# Pr3ThAs4 (PBE, relaxed)
# M_tot ... 0.00 μB/cell
# Space-group type ... No. 65
data_Pr3ThAs4
_cell_length_a 4.2953
_cell_length_b 7.4326
_cell_length_c 7.4326
_cell_angle_alpha 109.42
_cell_angle_beta 90.00
_cell_angle_gamma 90.00
_symmetry_space_group_name_H-M 'P 1'
_symmetry_Int_Tables_number 1
loop_
_symmetry_equiv_pos_as_xyz
'x,y,z'
loop_
_atom_site_label
_atom_site_type_symbol
_atom_site_fract_x
_atom_site_fract_y
_atom_site_fract_z
Pr1 Pr 0.0000 0.0000 0.5000
As1 As 0.5000 0.2472 0.7528
Pr2 Pr 0.5000 0.5000 0.5000
Th1 Th 0.5000 0.0000 0.0000
As2 As 0.0000 0.2457 0.2457
Pr3 Pr 0.0000 0.5000 0.0000
As3 As 0.0000 0.7543 0.7543
As4 As 0.5000 0.7528 0.2472

---

Among the structures above, stability is smallest for *P*.